[1]
3
Lattice="3.863 0.000 0.000 -1.932 3.346 0.000 0.000 0.000 5.290" Properties=species:S:1:pos:R:3 comment="HgTePt, relaxed, DFT GGA-PBEsol" formation_energy_uncorrected_ev_per_atom=-0.05 space_group=P3m1 e_above_lowest_polymorph_ev_per_atom=0.000 total_energy_ev_per_atom=-3.7328 magnetic_moment_mub_per_cell=0.00 pbc="T T T"
Hg 0.000 0.000 0.000
Te 1.932 1.115 2.235
Pt 0.000 2.231 3.616


[2]
4
Lattice="2.525 0.000 0.000 0.000 3.536 0.000 0.000 0.000 5.018" Properties=species:S:1:pos:R:3 comment="MnCo2Os, relaxed, DFT GGA-PBEsol" space_group=Pmm2 e_above_lowest_polymorph_ev_per_atom=0.057 total_energy_ev_per_atom=-9.2627 magnetic_moment_mub_per_cell=0.02 formation_enthalpy_0k_ev_per_atom=0.10 pbc="T T T"
Mn 0.000 0.000 0.000
Co 0.000 0.000 2.651
Co 1.262 1.768 3.839
Os 1.262 1.768 1.349